(1)
# TaNb6Ge

A geometry-optimized TaNb6Ge structure (PBE, the Alexandria database).

```
8
Lattice="-0.180 0.728 4.596 -4.049 -0.404 2.264 0.013 -7.287 3.514" Properties=species:S:1:pos:R:3 pbc="T T T"
Ta -2.108 -3.482 5.187
Nb -2.636 -0.737 4.731
Nb -0.517 -4.532 3.056
Nb -3.699 -2.431 7.317
Nb -1.580 -6.226 5.642
Nb -1.066 -1.675 2.582
Nb -3.149 -5.288 7.791
Ge 0.000 0.000 0.000
```

***

(2)
# Ta2NbGe

A geometry-optimized Ta2NbGe structure (PBE, the Alexandria database).

```
4
Lattice="3.659 0.000 0.000 0.000 4.355 0.000 0.000 0.000 4.355" Properties=species:S:1:pos:R:3 pbc="T T T"
Nb 1.829 0.000 0.000
Ge 1.829 2.178 2.178
Ta 0.000 0.000 2.178
Ta 0.000 2.178 0.000
```

***

(3)
# TaNb2Ge

A geometry-optimized TaNb2Ge structure (PBE, the Alexandria database).

```
4
Lattice="-2.188 -0.621 -2.272 -2.221 -2.274 0.486 -6.494 4.648 2.707" Properties=species:S:1:pos:R:3 pbc="T T T"
Nb -2.782 0.501 0.267
Nb -8.121 1.252 0.653
Ge -5.451 0.877 0.460
Ta 0.000 0.000 0.000
```

***

(4)
# TaNbGe3

A geometry-optimized TaNbGe3 structure (PBE, the Alexandria database).

```
5
Lattice="4.940 0.000 0.000 0.000 4.940 0.000 0.000 0.000 4.940" Properties=species:S:1:pos:R:3 pbc="T T T"
Nb 2.470 2.470 2.470
Ge 0.000 2.470 0.000
Ge 0.000 0.000 2.470
Ge 2.470 0.000 0.000
Ta 0.000 0.000 0.000
```

***

(5)
# Ta2NbGe4

A geometry-optimized Ta2NbGe4 structure (PBE, the Alexandria database).

```
7
Lattice="-1.229 -1.889 4.328 -3.203 -2.952 -2.199 2.421 -6.958 0.402" Properties=species:S:1:pos:R:3 pbc="T T T"
Nb 0.000 0.000 0.000
Ge 0.569 -5.147 0.666
Ge -2.582 -6.653 1.865
Ge -1.602 -1.476 -1.099
Ge -0.615 -0.945 2.164
Ta -1.300 -3.318 0.934
Ta -0.713 -8.482 1.597
```

***

(6)
# TaNbGe

A geometry-optimized TaNbGe structure (PBE, the Alexandria database).

```
3
Lattice="2.803 0.000 0.000 0.000 4.667 0.000 0.000 -2.333 4.041" Properties=species:S:1:pos:R:3 pbc="T T T"
Nb 0.828 0.000 2.694
Ge 2.784 0.000 0.000
Ta 1.994 2.333 1.347
```

***

(7)
# TaNbGe

A geometry-optimized TaNbGe structure (PBE, the Alexandria database).

```
3
Lattice="-1.534 2.386 -1.961 -3.083 -1.319 0.807 2.066 2.145 4.027" Properties=species:S:1:pos:R:3 pbc="T T T"
Nb -2.527 2.946 2.529
Ge -2.365 1.159 0.227
Ta -0.138 1.517 1.954
```

***

(8)
# TaNbGe2

A geometry-optimized TaNbGe2 structure (PBE, the Alexandria database).

```
8
Lattice="-4.460 2.133 -3.164 0.228 -4.709 -3.496 -5.904 -4.052 0.147" Properties=species:S:1:pos:R:3 pbc="T T T"
Nb -2.116 -1.288 -3.330
Nb -3.896 -5.025 -3.339
Ge -4.243 -0.265 -2.384
Ge -1.883 -3.694 -2.538
Ge -6.015 -3.997 -2.381
Ge -8.131 -5.303 -5.724
Ta 0.000 0.000 0.000
Ta -6.240 -1.604 -3.173
```

***

(9)
# TaNb2Ge6

A geometry-optimized TaNb2Ge6 structure (PBE, the Alexandria database).

```
9
Lattice="-1.429 0.011 4.799 -0.858 -4.020 -2.858 6.059 -2.581 1.811" Properties=species:S:1:pos:R:3 pbc="T T T"
Ta -0.715 0.006 2.399
Nb 3.617 -3.734 -0.220
Nb 0.869 -2.862 1.572
Ge -1.772 -2.693 2.091
Ge 3.425 -2.381 2.314
Ge 0.684 -1.517 4.144
Ge -0.515 -1.315 -0.150
Ge 2.363 -5.067 2.040
Ge 1.071 -4.214 -0.995
```

***

(10)
# TaNbGe3

A geometry-optimized TaNbGe3 structure (PBE, the Alexandria database).

```
5
Lattice="-3.496 3.427 0.194 -0.240 0.032 -4.894 -3.424 -3.501 0.145" Properties=species:S:1:pos:R:3 pbc="T T T"
Nb 0.000 0.000 0.000
Ge -0.120 0.016 -2.447
Ge -1.712 -1.751 0.073
Ge -1.748 1.714 0.097
Ta -3.580 -0.021 -2.277
```

***

(11)
# TaNb4Ge3

A geometry-optimized TaNb4Ge3 structure (PBE, the Alexandria database).

```
16
Lattice="4.901 0.000 1.736 2.451 7.222 0.868 0.040 0.000 7.676" Properties=species:S:1:pos:R:3 pbc="T T T"
Nb 2.847 2.155 7.537
Nb 4.545 5.067 2.743
Nb 5.660 6.154 7.380
Nb 0.759 1.068 5.645
Nb 1.731 1.068 2.899
Nb 6.633 6.154 4.635
Nb 4.545 2.155 2.743
Nb 2.847 5.067 7.537
Ge 3.676 0.000 1.302
Ge 1.225 0.000 0.434
Ge 3.696 6.001 5.140
Ge 3.696 1.221 5.140
Ge 2.043 3.611 2.019
Ge 5.348 3.611 8.261
Ta 4.921 3.611 5.574
Ta 2.470 3.611 4.706
```

***

(12)
# TaNb2Ge

A geometry-optimized TaNb2Ge structure (PBE, the Alexandria database).

```
16
Lattice="4.930 0.000 1.732 2.465 7.362 0.866 0.026 0.000 7.811" Properties=species:S:1:pos:R:3 pbc="T T T"
Ta 2.659 3.839 8.032
Ta 6.280 6.697 5.939
Ta 1.245 0.665 4.507
Ta 4.658 3.522 2.340
Nb 3.591 2.364 5.273
Nb 1.660 1.166 7.343
Nb 5.824 3.785 7.343
Nb 1.767 3.577 3.126
Nb 3.448 6.196 2.254
Nb 3.660 4.998 5.076
Nb 6.499 6.378 8.850
Nb 3.236 0.984 2.372
Ge 5.794 5.649 3.479
Ge 4.208 5.999 7.466
Ge 4.258 1.712 7.854
Ge 0.582 1.362 2.019
```

***

(13)
# TbNbGe2

A geometry-optimized TbNbGe2 structure (PBE, the Alexandria database).

```
4
Lattice="3.886 0.000 0.000 1.943 3.365 0.000 1.943 1.122 6.492" Properties=species:S:1:pos:R:3 pbc="T T T"
Nb 0.000 0.000 0.000
Tb 3.886 2.243 3.246
Ge 5.829 3.365 5.054
Ge 1.943 1.122 1.437
```

***

(14)
# TbNb4Ge2

A geometry-optimized TbNb4Ge2 structure (PBE, the Alexandria database).

```
7
Lattice="4.255 0.000 0.000 0.000 3.615 -0.797 0.000 0.046 8.809" Properties=species:S:1:pos:R:3 pbc="T T T"
Nb 2.128 2.987 4.954
Nb 0.000 2.461 2.566
Nb 2.128 0.674 3.058
Nb 0.000 1.200 5.446
Tb 0.000 0.000 0.000
Ge 2.128 2.075 0.814
Ge 2.128 1.586 7.199
```

***

(15)
# Tb2NbGe3

A geometry-optimized Tb2NbGe3 structure (PBE, the Alexandria database).

```
6
Lattice="-2.724 -0.979 2.594 3.971 -0.478 3.990 -1.366 6.630 -1.845" Properties=species:S:1:pos:R:3 pbc="T T T"
Tb -1.617 1.533 1.793
Tb 1.497 3.640 2.946
Nb 1.985 -0.239 1.995
Ge -0.520 4.132 1.013
Ge 0.000 0.000 0.000
Ge 0.401 1.041 3.726
```

***

(16)
# NbTcGe3

A geometry-optimized NbTcGe3 structure (PBE, the Alexandria database).

```
5
Lattice="4.732 0.000 0.000 0.000 4.732 0.000 0.000 0.000 4.732" Properties=species:S:1:pos:R:3 pbc="T T T"
Nb 2.366 2.366 2.366
Ge 0.000 2.366 0.000
Ge 0.000 0.000 2.366
Ge 2.366 0.000 0.000
Tc 0.000 0.000 0.000
```

***

(17)
# Nb2TcGe3

A geometry-optimized Nb2TcGe3 structure (PBE, the Alexandria database).

```
6
Lattice="-2.485 -0.946 -2.950 -3.873 -0.627 3.463 1.932 5.660 -0.769" Properties=species:S:1:pos:R:3 pbc="T T T"
Nb -1.686 1.259 -1.657
Nb -2.740 2.828 1.401
Tc -1.936 -0.313 1.732
Ge -0.865 3.382 -0.356
Ge 0.000 0.000 0.000
Ge -3.561 0.705 0.100
```

***

(18)
# Nb2TcGe4

A geometry-optimized Nb2TcGe4 structure (PBE, the Alexandria database).

```
7
Lattice="4.762 0.000 0.000 0.000 4.762 0.000 2.381 2.381 6.469" Properties=species:S:1:pos:R:3 pbc="T T T"
Nb 2.381 2.381 1.304
Nb 4.762 4.762 5.165
Ge 2.381 2.381 3.947
Ge 4.762 4.762 2.522
Ge 0.000 2.381 0.000
Ge 2.381 0.000 0.000
Tc 0.000 0.000 0.000
```

***

(19)
# NbTcGe

A geometry-optimized NbTcGe structure (PBE, the Alexandria database).

```
6
Lattice="-3.281 2.876 1.722 -0.855 -4.863 0.190 3.972 1.037 3.320" Properties=species:S:1:pos:R:3 pbc="T T T"
Nb 0.784 0.027 3.481
Nb -0.949 -0.976 1.750
Tc -1.664 1.675 2.276
Tc 1.499 -2.625 2.955
Ge -0.225 -3.617 1.174
Ge 0.061 2.668 4.057
```

***

(20)
# NbTcGe2

A geometry-optimized NbTcGe2 structure (PBE, the Alexandria database).

```
4
Lattice="-3.678 0.590 -0.462 -1.780 -1.476 -2.956 -2.962 -5.029 1.911" Properties=species:S:1:pos:R:3 pbc="T T T"
Nb -6.582 -5.545 -0.416
Tc -4.234 -3.056 -0.690
Ge -2.653 -3.749 1.086
Ge -2.123 -1.552 -0.330
```

***

| no. | formation enthalpy at 0 K (meV per atom) | D(E_F) (states/eV per cell) | E_tot (eV for the cell shown) |
| --- | --- | --- | --- |
| 1 | -98 | 7.07 | -77.67 |
| 2 | -138 | 3.86 | -38.95 |
| 3 | 65 | 2.47 | -36.35 |
| 4 | 983 | 4.68 | -30.86 |
| 5 | 593 | 7.34 | -48.09 |
| 6 | -4 | 2.10 | -26.55 |
| 7 | -229 | 1.44 | -27.23 |
| 8 | 930 | 8.17 | -54.88 |
| 9 | -313 | 3.85 | -62.51 |
| 10 | 1177 | 4.68 | -29.89 |
| 11 | -479 | 9.18 | -139.63 |
| 12 | -307 | 12.22 | -151.35 |
| 13 | -513 | 1.13 | -25.99 |
| 14 | -380 | 7.05 | -56.80 |
| 15 | -548 | 2.78 | -36.47 |
| 16 | 976 | 13.75 | -29.41 |
| 17 | 58 | 5.41 | -44.01 |
| 18 | 443 | 5.70 | -45.88 |
| 19 | -172 | 4.47 | -51.14 |
| 20 | -22 | 3.97 | -29.76 |